Here is an optimized crystal structure of ScBePt2 from the Alexandria database. Energies are from PBE.

extended XYZ file:
```
8
Lattice="-2.339 2.339 7.007 2.339 -2.339 7.007 2.339 2.339 -7.007" Properties=species:S:1:pos:R:3 pbc="T T T"
Sc 0.000 0.000 0.000
Sc 0.000 2.339 3.504
Be 2.339 0.000 3.504
Be 0.000 0.000 7.007
Pt 1.169 -0.684 5.256
Pt 1.654 1.169 1.752
Pt 1.169 3.023 -1.752
Pt 0.684 1.169 8.759
```

Output
formation energy from the elements: -402 meV per atom
ρ: 9.621 g/cm3
VASP energy: -23.75 eV/f.u.
M_tot: 0.00 μB/f.u.
space-group type: I-42d, No. 122

=====

Here is an optimized crystal structure of Sc2BePt from the Alexandria database. Energies are from PBE.

extended XYZ file:
```
4
Lattice="1.715 0.990 7.460 -1.715 0.990 7.460 0.000 -1.980 7.460" Properties=species:S:1:pos:R:3 pbc="T T T"
Sc 0.000 0.000 5.601
Sc 0.000 0.000 16.779
Be 0.000 0.000 11.190
Pt 0.000 0.000 0.000
```

Output
formation energy from the elements: -283 meV per atom
ρ: 6.423 g/cm3
VASP energy: -23.56 eV/f.u.
M_tot: 0.00 μB/f.u.
space-group type: R-3m, No. 166

=====

Here is an optimized crystal structure of Sc2BePt from the Alexandria database. Energies are from PBE.

extended XYZ file:
```
4
Lattice="3.122 0.000 0.000 0.000 3.122 0.000 0.000 0.000 7.260" Properties=species:S:1:pos:R:3 pbc="T T T"
Sc 0.000 0.000 0.000
Sc 1.561 1.561 2.579
Be 0.000 0.000 4.419
Pt 1.561 1.561 5.453
```

Output
formation energy from the elements: -486 meV per atom
ρ: 6.900 g/cm3
VASP energy: -24.38 eV/f.u.
M_tot: 0.32 μB/f.u.
space-group type: P4mm, No. 99

=====

Here is an optimized crystal structure of Sc2BeSiPt6 from the Alexandria database. Energies are from PBE.

extended XYZ file:
```
10
Lattice="4.776 -2.756 0.000 4.776 2.756 0.000 -3.194 0.000 6.648" Properties=species:S:1:pos:R:3 pbc="T T T"
Sc 1.587 0.000 0.742
Sc 4.771 0.000 5.906
Be -1.597 0.000 3.324
Si 4.776 0.000 0.000
Pt 0.000 0.000 4.871
Pt 2.384 1.375 4.876
Pt 3.973 1.375 1.773
Pt 2.384 -1.375 4.876
Pt 3.973 -1.375 1.773
Pt 6.358 0.000 1.778
```

Output
ρ: 12.310 g/cm3
raw formation energy: -18.88 kcal/mol of atoms
VASP energy: -66.24 eV/f.u.
M_tot: 0.00 μB/f.u.
space-group type: C2/m, No. 12

=====

Here is an optimized crystal structure of Sc2BeSi3Pt4 from the Alexandria database. Energies are from PBE.

extended XYZ file:
```
10
Lattice="4.006 0.000 0.000 0.000 4.006 0.000 0.000 0.000 10.035" Properties=species:S:1:pos:R:3 pbc="T T T"
Sc 0.000 2.003 2.357
Sc 2.003 0.000 7.678
Be 2.003 2.003 0.000
Si 0.000 0.000 0.000
Si 0.000 2.003 6.445
Si 2.003 0.000 3.591
Pt 0.000 0.000 5.018
Pt 0.000 2.003 8.747
Pt 2.003 0.000 1.288
Pt 2.003 2.003 5.018
```

Output
ρ: 9.933 g/cm3
raw formation energy: -22.17 kcal/mol of atoms
VASP energy: -66.43 eV/f.u.
M_tot: 0.00 μB/f.u.
space-group type: P-4m2, No. 115

=====

Here is an optimized crystal structure of Sc2Be3SiPt4 from the Alexandria database. Energies are from PBE.

extended XYZ file:
```
10
Lattice="3.995 0.000 0.000 0.000 3.995 0.000 0.000 0.000 9.309" Properties=species:S:1:pos:R:3 pbc="T T T"
Sc 0.000 1.998 2.307
Sc 1.998 0.000 7.001
Be 0.000 1.998 8.167
Be 1.998 0.000 1.142
Be 1.998 1.998 4.654
Si 0.000 0.000 4.654
Pt 0.000 0.000 0.000
Pt 0.000 1.998 5.937
Pt 1.998 0.000 3.372
Pt 1.998 1.998 0.000
```

Output
ρ: 10.341 g/cm3
raw formation energy: -20.89 kcal/mol of atoms
VASP energy: -62.49 eV/f.u.
M_tot: 0.00 μB/f.u.
space-group type: P-4m2, No. 115